(w)
Compound: YInFePt
Source: OQMD via LeMat-Bulk
Functional: PBE
Structure: optimized geometry

a b c (Å): 4.685 4.685 4.685
angles (deg): 60.00 60.00 60.00
Fractional positions:
Pt  0.250  0.250  0.250
In  0.000  0.000  0.000
Fe  0.750  0.750  0.750
Y  0.500  0.500  0.500

Computed properties:
The value obtained for the magnetic moment is 0.5378 μB/atom.

---

(x)
Compound: YInFePt
Source: OQMD via LeMat-Bulk
Functional: PBE
Structure: optimized geometry

a b c (Å): 4.748 4.748 4.748
angles (deg): 60.00 60.00 60.00
Fractional positions:
In  0.000  0.000  0.000
Y  0.250  0.250  0.250
Pt  0.500  0.500  0.500
Fe  0.750  0.750  0.750

Computed properties:
The value obtained for the magnetic moment is 0.7386 μB/atom.

---

Last place for stability: (x)